First-principles (GGA-PBE) data for a relaxed MgNb3F crystal, as listed in Alexandria via LeMat-Bulk.

```
MgNb3F
1.0
4.816 0.000 0.000
0.000 4.816 0.000
0.000 0.000 4.816
Mg Nb F
1 3 1
direct
0.000 0.000 0.000
0.000 0.000 0.500
0.000 0.500 0.000
0.500 0.000 0.000
0.500 0.500 0.500
```

Properties
raw formation energy	1.82	eV per atom
total magnetization	0.000	μB per atom
ΔE to the lowest computed polymorph	1.809	eV per atom